Entry 1:
Entry from Alexandria via LeMat-Bulk: an optimized crystal structure of Ti2HgIrN (PBE).

Formation energy without anion corrections = -307 meV per atom

Lattice parameters (Å, degrees): 4.056 4.056 4.535 90.00 90.00 90.00
Space group P4/mmm (No. 123)
Asymmetric unit:
Ti: 0.000 0.500 0.000 (multiplicity 2)
Hg: 0.000 0.000 0.500 (multiplicity 1)
Ir: 0.500 0.500 0.500 (multiplicity 1)
N: 0.000 0.000 0.000 (multiplicity 1)


Entry 2:
Entry from Alexandria via LeMat-Bulk: an optimized crystal structure of Tl2HgIrN (PBE).

Formation energy without anion corrections = 232 meV per atom

Lattice parameters (Å, degrees): 5.754 5.754 3.697 90.00 90.00 90.00
Space group P4/mmm (No. 123)
Asymmetric unit:
Tl: 0.000 0.500 0.000 (multiplicity 2)
Hg: 0.000 0.000 0.500 (multiplicity 1)
Ir: 0.500 0.500 0.000 (multiplicity 1)
N: 0.500 0.500 0.500 (multiplicity 1)


Entry 3:
Entry from Alexandria via LeMat-Bulk: an optimized crystal structure of HgIrWN2 (PBE).

Formation energy without anion corrections = 796 meV per atom

Lattice parameters (Å, degrees): 3.918 3.918 5.308 90.00 90.00 90.00
Space group P4/mmm (No. 123)
Asymmetric unit:
Hg: 0.000 0.000 0.000 (multiplicity 1)
Ir: 0.500 0.500 0.000 (multiplicity 1)
W: 0.500 0.500 0.500 (multiplicity 1)
N: 0.000 0.500 0.500 (multiplicity 2)


Entry 4:
Entry from Alexandria via LeMat-Bulk: an optimized crystal structure of YHgIr2N (PBE).

Formation energy without anion corrections = 211 meV per atom

Lattice parameters (Å, degrees): 4.068 4.068 5.336 90.00 90.00 90.00
Space group P4/mmm (No. 123)
Asymmetric unit:
Y: 0.000 0.000 0.000 (multiplicity 1)
Hg: 0.500 0.500 0.000 (multiplicity 1)
Ir: 0.000 0.500 0.500 (multiplicity 2)
N: 0.500 0.500 0.500 (multiplicity 1)


Entry 5:
Entry from Alexandria via LeMat-Bulk: an optimized crystal structure of NaHgIr3 (PBE).

Offset from the most stable computed form = 0.58 eV per formula unit
DFT formation energy = 2.213 eV per atom

Lattice parameters (Å, degrees): 4.543 4.543 4.543 90.00 90.00 90.00
Space group Pm-3m (No. 221)
Asymmetric unit:
Na: 0.000 0.000 0.000 (multiplicity 1)
Hg: 0.500 0.500 0.500 (multiplicity 1)
Ir: 0.000 0.000 0.500 (multiplicity 3)


Entry 6:
Entry from Alexandria via LeMat-Bulk: an optimized crystal structure of Na2HgIr (PBE).

DFT formation energy = 0.408 eV per atom

Lattice parameters (Å, degrees): 3.986 3.986 20.841 90.00 90.00 90.00
Space group I-42d (No. 122)
Asymmetric unit:
Na: 0.240 0.250 0.125 (multiplicity 8)
Hg: 0.000 0.000 0.500 (multiplicity 4)
Ir: 0.000 0.000 0.000 (multiplicity 4)


Entry 7:
Entry from Alexandria via LeMat-Bulk: an optimized crystal structure of NaHgIr3 (PBE).

Offset from the most stable computed form = 0.00 eV per formula unit
DFT formation energy = 2.098 eV per atom

Lattice parameters (Å, degrees): 5.033 5.033 5.033 90.00 90.00 90.00
Space group Pm-3m (No. 221)
Asymmetric unit:
Na: 0.000 0.000 0.000 (multiplicity 1)
Hg: 0.500 0.500 0.500 (multiplicity 1)
Ir: 0.000 0.500 0.500 (multiplicity 3)


Entry 8:
Entry from Alexandria via LeMat-Bulk: an optimized crystal structure of Na3HgIr (PBE).

Offset from the most stable computed form = 1.91 eV per formula unit
DFT formation energy = 0.954 eV per atom

Lattice parameters (Å, degrees): 5.387 5.387 5.387 90.00 90.00 90.00
Space group Pm-3m (No. 221)
Asymmetric unit:
Na: 0.000 0.000 0.500 (multiplicity 3)
Hg: 0.000 0.000 0.000 (multiplicity 1)
Ir: 0.500 0.500 0.500 (multiplicity 1)


Entry 9:
Entry from Alexandria via LeMat-Bulk: an optimized crystal structure of Na3HgIr (PBE).

Offset from the most stable computed form = 0.00 eV per formula unit
DFT formation energy = 0.572 eV per atom

Lattice parameters (Å, degrees): 5.473 5.473 5.473 90.00 90.00 90.00
Space group Pm-3m (No. 221)
Asymmetric unit:
Na: 0.000 0.000 0.500 (multiplicity 3)
Hg: 0.500 0.500 0.500 (multiplicity 1)
Ir: 0.000 0.000 0.000 (multiplicity 1)


Entry 10:
Entry from Alexandria via LeMat-Bulk: an optimized crystal structure of Na2HgIrO6 (PBE).

Formation energy without anion corrections = -753 meV per atom

Lattice parameters (Å, degrees): 5.167 5.467 10.604 90.00 114.10 90.00
Space group P2_1/c (No. 14)
Asymmetric unit:
Na: 0.202 0.065 0.243 (multiplicity 4)
Hg: 0.500 0.000 0.000 (multiplicity 2)
Ir: 0.000 0.000 0.500 (multiplicity 2)
O: 0.092 0.218 0.916 (multiplicity 4)
O: 0.199 0.701 0.920 (multiplicity 4)
O: 0.325 0.047 0.660 (multiplicity 4)


Entry 11:
Entry from Alexandria via LeMat-Bulk: an optimized crystal structure of Na2Hg2IrO6 (PBE).

Formation energy without anion corrections = -801 meV per atom

Lattice parameters (Å, degrees): 5.904 10.207 5.981 90.00 91.73 90.00
Space group C2/m (No. 12)
Asymmetric unit:
Na: 0.000 0.161 0.000 (multiplicity 4)
Hg: 0.000 0.349 0.500 (multiplicity 4)
Ir: 0.000 0.500 0.000 (multiplicity 2)
O: 0.141 0.358 0.190 (multiplicity 8)
O: 0.242 0.000 0.179 (multiplicity 4)


Entry 12:
Entry from Alexandria via LeMat-Bulk: an optimized crystal structure of Na2Hg3IrO6 (PBE).

Formation energy without anion corrections = -732 meV per atom

Lattice parameters (Å, degrees): 5.846 10.171 6.080 90.00 108.14 90.00
Space group C2/m (No. 12)
Asymmetric unit:
Na: 0.000 0.168 0.000 (multiplicity 4)
Hg: 0.000 0.000 0.500 (multiplicity 2)
Hg: 0.000 0.341 0.500 (multiplicity 4)
Ir: 0.000 0.500 0.000 (multiplicity 2)
O: 0.195 0.366 0.215 (multiplicity 8)
O: 0.219 0.500 0.817 (multiplicity 4)


Entry 13:
Entry from Alexandria via LeMat-Bulk: an optimized crystal structure of NaSr2HgIr (PBE).

DFT formation energy = -0.099 eV per atom

Lattice parameters (Å, degrees): 5.771 5.771 5.405 90.00 90.00 90.00
Space group P4/mmm (No. 123)
Asymmetric unit:
Na: 0.000 0.000 0.000 (multiplicity 1)
Sr: 0.000 0.500 0.500 (multiplicity 2)
Hg: 0.500 0.500 0.000 (multiplicity 1)
Ir: 0.500 0.500 0.500 (multiplicity 1)


Entry 14:
Entry from Alexandria via LeMat-Bulk: an optimized crystal structure of Na2TcHgIr (PBE).

DFT formation energy = 1.002 eV per atom

Lattice parameters (Å, degrees): 5.780 5.780 4.572 90.00 90.00 90.00
Space group P4/mmm (No. 123)
Asymmetric unit:
Na: 0.000 0.500 0.000 (multiplicity 2)
Tc: 0.000 0.000 0.000 (multiplicity 1)
Hg: 0.500 0.500 0.500 (multiplicity 1)
Ir: 0.000 0.000 0.500 (multiplicity 1)


Entry 15:
Entry from Alexandria via LeMat-Bulk: an optimized crystal structure of NaHg2TeIr (PBE).

Formation energy without anion corrections = 1132 meV per atom

Lattice parameters (Å, degrees): 5.079 5.079 5.082 90.00 90.00 90.00
Space group P4/mmm (No. 123)
Asymmetric unit:
Na: 0.000 0.000 0.000 (multiplicity 1)
Hg: 0.000 0.500 0.000 (multiplicity 2)
Te: 0.500 0.500 0.500 (multiplicity 1)
Ir: 0.000 0.000 0.500 (multiplicity 1)


Entry 16:
Entry from Alexandria via LeMat-Bulk: an optimized crystal structure of NaHgTeIr2 (PBE).

Formation energy without anion corrections = 1320 meV per atom

Lattice parameters (Å, degrees): 5.035 5.035 4.895 90.00 90.00 90.00
Space group P4/mmm (No. 123)
Asymmetric unit:
Na: 0.000 0.000 0.000 (multiplicity 1)
Hg: 0.000 0.000 0.500 (multiplicity 1)
Te: 0.500 0.500 0.000 (multiplicity 1)
Ir: 0.000 0.500 0.500 (multiplicity 2)


Entry 17:
Entry from Alexandria via LeMat-Bulk: an optimized crystal structure of NaTiHgIr2 (PBE).

DFT formation energy = 0.600 eV per atom

Lattice parameters (Å, degrees): 4.623 4.623 5.380 90.00 90.00 90.00
Space group P4/mmm (No. 123)
Asymmetric unit:
Na: 0.000 0.000 0.000 (multiplicity 1)
Ti: 0.500 0.500 0.500 (multiplicity 1)
Hg: 0.500 0.500 0.000 (multiplicity 1)
Ir: 0.000 0.500 0.500 (multiplicity 2)


Entry 18:
Entry from Alexandria via LeMat-Bulk: an optimized crystal structure of NaTl2HgIr (PBE).

DFT formation energy = 0.074 eV per atom

Lattice parameters (Å, degrees): 5.274 5.274 5.395 90.00 90.00 90.00
Space group P4/mmm (No. 123)
Asymmetric unit:
Na: 0.000 0.000 0.000 (multiplicity 1)
Tl: 0.000 0.500 0.500 (multiplicity 2)
Hg: 0.500 0.500 0.000 (multiplicity 1)
Ir: 0.500 0.500 0.500 (multiplicity 1)


Entry 19:
Entry from Alexandria via LeMat-Bulk: an optimized crystal structure of Nb2Hg2Ir (PBE).

Offset from the most stable computed form = 0.83 eV per formula unit
DFT formation energy = 0.608 eV per atom

Lattice parameters (Å, degrees): 3.783 3.783 14.790 90.00 90.00 90.00
Space group I4/mmm (No. 139)
Asymmetric unit:
Nb: 0.000 0.000 0.079 (multiplicity 4)
Hg: 0.000 0.500 0.250 (multiplicity 4)
Ir: 0.000 0.000 0.500 (multiplicity 2)


Entry 20:
Entry from Alexandria via LeMat-Bulk: an optimized crystal structure of NbHgIr (PBE).

Offset from the most stable computed form = 0.00 eV per formula unit
DFT formation energy = -0.106 eV per atom

Lattice parameters (Å, degrees): 2.934 16.920 4.427 90.00 90.00 90.00
Space group Cmcm (No. 63)
Asymmetric unit:
Nb: 0.000 0.093 0.250 (multiplicity 4)
Hg: 0.000 0.292 0.250 (multiplicity 4)
Ir: 0.000 0.454 0.250 (multiplicity 4)


no.,total moment (μB per formula unit)
1,0.000
2,0.000
3,0.001
4,0.000
5,0.000
6,0.000
7,2.831
8,0.531
9,0.000
10,0.471
11,2.916
12,0.000
13,0.000
14,2.034
15,0.000
16,0.878
17,0.000
18,0.000
19,0.000
20,0.000